The following is a DFT calculation (PBE) of an optimized crystal structure of AlCo2Hg.

Cell lengths 3.7795, 3.7795, 7.8754 Å; angles 90.00, 90.00, 90.00 degrees
With the nearest neighbours (Å) after each atom.
Space group I-4m2 (No. 119)
One atom of each set of equivalent atoms:
Al  0.0000  0.0000  0.0000 x2  8 Co 2.67-2.73, 4 Hg 2.73
Co  0.0000  0.0000  0.5000 x2  4 Al 2.67, 4 Hg 2.73, 4 Co 2.73
Co  0.0000  0.5000  0.7500 x2  4 Hg 2.67, 4 Co 2.73, 4 Al 2.73
Hg  0.0000  0.5000  0.2500 x2  8 Co 2.67-2.73, 4 Al 2.73

Results
ΔH_f (0 K): 183 meV/atom

---

The following is a DFT calculation (PBE) of an optimized crystal structure of AlCoHg2.

Cell lengths 3.9904, 3.9904, 8.5765 Å; angles 90.00, 90.00, 90.00 degrees
With the nearest neighbours (Å) after each atom.
Space group I-4m2 (No. 119)
One atom of each set of equivalent atoms:
Al  0.0000  0.0000  0.0000 x2  8 Hg 2.82-2.93, 4 Co 2.93
Co  0.0000  0.5000  0.7500 x2  8 Hg 2.82-2.93, 4 Al 2.93
Hg  0.0000  0.0000  0.5000 x2  4 Al 2.82, 4 Hg 2.93, 4 Co 2.93
Hg  0.0000  0.5000  0.2500 x2  4 Co 2.82, 4 Hg 2.93, 4 Al 2.93

Results
ΔH_f (0 K): 318 meV/atom

---

The following is a DFT calculation (PBE) of an optimized crystal structure of AlCo2Hg.

Cell lengths 2.8906, 2.8906, 6.9894 Å; angles 90.00, 90.00, 90.00 degrees
With the nearest neighbours (Å) after each atom.
Space group P4mm (No. 99)
One atom of each set of equivalent atoms:
Al  0.0000  0.0000  0.0000 x1  5 Co 2.47-2.73
Co  0.0000  0.0000  0.3911 x1  4 Co 2.45, 1 Al 2.73
Co  0.5000  0.5000  0.1979 x1  4 Co 2.45, 4 Al 2.47
Hg  0.5000  0.5000  0.6673 x1  4 Co 2.81, 4 Hg 2.89, 4 Al 3.10

Results
ΔH_f (0 K): 90 meV/atom

---

The following is a DFT calculation (PBE) of an optimized crystal structure of AlCo2Hg.

Cell lengths 6.0304, 6.0304, 6.0304 Å; angles 90.00, 90.00, 90.00 degrees
With the nearest neighbours (Å) after each atom.
Space group Fm-3m (No. 225)
One atom of each set of equivalent atoms:
Al  0.0000  0.0000  0.0000 x4  8 Co 2.61
Co  0.2500  0.2500  0.2500 x8  4 Hg 2.61, 4 Al 2.61
Hg  0.0000  0.0000  0.5000 x4  8 Co 2.61

Results
ΔH_f (0 K): 120 meV/atom

---

Number 1: magnetization 5.2 μB per cell, calculated volume 56.2 Å³/f.u.. Number 2: magnetization 0.7 μB per cell, calculated volume 68.3 Å³/f.u.. Number 3: magnetization 2.8 μB per cell, calculated volume 58.4 Å³/f.u.. Number 4: magnetization 1.0 μB per cell, calculated volume 54.8 Å³/f.u..